The following is a DFT calculation (PBE) of crystalline TbDy2HoEr5 at its relaxed geometry.

The density of states at the Fermi level is 23.1 states/eV/cell. The calculation puts the formation energy at 0.30 eV/atom. As for the total DFT energy (no corrections): -4.279 eV/atom.

abc: 8.7366 8.7366 9.6286
angles: 116.98 116.98 90.00
Fractional coordinates of all 18 atoms:
Tb1 0.2500 0.2500 0.5000
Tb2 0.7500 0.7500 0.5000
Dy1 0.1143 0.3857 0.0000
Dy2 0.6143 0.1143 0.0000
Dy3 0.3857 0.8857 0.0000
Dy4 0.8857 0.6143 0.0000
Ho1 0.2500 0.7500 0.5000
Ho2 0.7500 0.2500 0.5000
Er1 0.9285 0.4285 0.2696
Er2 0.6590 0.1590 0.7304
Er3 0.0715 0.5715 0.7304
Er4 0.1590 0.0715 0.7304
Er5 0.5715 0.6590 0.7304
Er6 0.8410 0.9285 0.2696
Er7 0.4285 0.3410 0.2696
Er8 0.3410 0.8410 0.2696
Er9 0.5000 0.5000 0.0000
Er10 0.0000 0.0000 0.0000